PmMgZnGa2: optimized geometry, PBE.

Properties
Energy (eV per atom): -3.1894
V (Å³/cell): 204
Density of states at the Fermi level (states/eV/f.u.): 1.44

The structure in CIF format:
```
data_PmMgZnGa2
_chemical_formula_sum 'Pm2 Mg2 Zn2 Ga4'
_cell_length_a 4.2458
_cell_length_b 4.2458
_cell_length_c 11.3301
_cell_angle_alpha 90.00
_cell_angle_beta 90.00
_cell_angle_gamma 90.00
_space_group_name_H-M_alt 'I -4 m 2'
_space_group_IT_number 119
_space_group_name_Hall 'I -4 -2'
loop_
_atom_site_label
_atom_site_type_symbol
_atom_site_fract_x
_atom_site_fract_y
_atom_site_fract_z
Pm1 Pm 0.0000 0.0000 0.0000
Mg1 Mg 0.0000 0.5000 0.7500
Zn1 Zn 0.0000 0.5000 0.2500
Ga1 Ga 0.0000 0.0000 0.3914
```


PmMg2ZnGa2: optimized geometry, PBE.

Properties
Energy (eV per atom): -2.5036
V (Å³/cell): 297
Density of states at the Fermi level (states/eV/f.u.): 2.32

The structure in CIF format:
```
data_PmMg2ZnGa2
_chemical_formula_sum 'Pm2 Mg4 Zn2 Ga4'
_cell_length_a 5.2338
_cell_length_b 5.2338
_cell_length_c 10.8558
_cell_angle_alpha 90.00
_cell_angle_beta 90.00
_cell_angle_gamma 90.00
_space_group_name_H-M_alt 'I 4/m m m'
_space_group_IT_number 139
_space_group_name_Hall '-I 4 2'
loop_
_atom_site_label
_atom_site_type_symbol
_atom_site_fract_x
_atom_site_fract_y
_atom_site_fract_z
Pm1 Pm 0.0000 0.0000 0.0000
Mg1 Mg 0.0000 0.5000 0.2500
Zn1 Zn 0.0000 0.0000 0.5000
Ga1 Ga 0.0000 0.0000 0.2818
```